Entry 1:
! GGA-PBE RhIN2F, optimized geometry; values from VASP
&SYSTEM
  ibrav = 0, nat = 5, ntyp = 4
/
ATOMIC_SPECIES
Rh 102.91 Rh.upf
I 126.90 I.upf
N 14.01 N.upf
F 19.00 F.upf
CELL_PARAMETERS angstrom
3.781 0.000 0.000
0.000 3.781 0.000
0.000 0.000 5.930
ATOMIC_POSITIONS angstrom
Rh 0.000 0.000 0.000
I 0.000 0.000 2.965
N 0.000 1.890 0.000
N 1.890 0.000 0.000
F 1.890 1.890 2.965
! Calculated volume = 16.96 Å³/atom
! Crystal system = tetragonal

---

Entry 2:
! GGA-PBE RhINF2, optimized geometry; values from VASP
&SYSTEM
  ibrav = 0, nat = 5, ntyp = 4
/
ATOMIC_SPECIES
Rh 102.91 Rh.upf
I 126.90 I.upf
N 14.01 N.upf
F 19.00 F.upf
CELL_PARAMETERS angstrom
4.722 0.000 0.000
0.000 4.722 0.000
0.000 0.000 4.036
ATOMIC_POSITIONS angstrom
Rh 0.000 0.000 0.000
I 2.361 2.361 2.018
N 2.361 2.361 0.000
F 0.000 2.361 2.018
F 2.361 0.000 2.018
! Calculated volume = 18.00 Å³/atom
! Crystal system = tetragonal

---

Entry 3:
! GGA-PBE RhINF2, optimized geometry; values from VASP
&SYSTEM
  ibrav = 0, nat = 5, ntyp = 4
/
ATOMIC_SPECIES
Rh 102.91 Rh.upf
I 126.90 I.upf
N 14.01 N.upf
F 19.00 F.upf
CELL_PARAMETERS angstrom
4.405 0.000 0.000
0.000 4.405 0.000
0.000 0.000 3.811
ATOMIC_POSITIONS angstrom
Rh 0.000 0.000 0.000
I 2.203 2.203 1.905
N 0.000 0.000 1.905
F 0.000 2.203 0.000
F 2.203 0.000 0.000
! Calculated volume = 14.79 Å³/atom
! Crystal system = tetragonal

---

Entry 4:
! GGA-PBE RuI2NF, optimized geometry; values from VASP
&SYSTEM
  ibrav = 0, nat = 5, ntyp = 4
/
ATOMIC_SPECIES
Ru 101.07 Ru.upf
I 126.90 I.upf
N 14.01 N.upf
F 19.00 F.upf
CELL_PARAMETERS angstrom
5.482 0.000 0.000
0.000 5.482 0.000
0.000 0.000 3.656
ATOMIC_POSITIONS angstrom
Ru 0.000 0.000 0.000
I 0.000 2.741 0.000
I 2.741 0.000 0.000
N 0.000 0.000 1.828
F 2.741 2.741 1.828
! Calculated volume = 21.97 Å³/atom
! Crystal system = tetragonal

---

Entry 5:
! GGA-PBE RuI2NF, optimized geometry; values from VASP
&SYSTEM
  ibrav = 0, nat = 5, ntyp = 4
/
ATOMIC_SPECIES
Ru 101.07 Ru.upf
I 126.90 I.upf
N 14.01 N.upf
F 19.00 F.upf
CELL_PARAMETERS angstrom
5.701 0.000 0.000
0.000 5.701 0.000
0.000 0.000 3.517
ATOMIC_POSITIONS angstrom
Ru 0.000 0.000 0.000
I 0.000 2.850 1.759
I 2.850 0.000 1.759
N 2.850 2.850 0.000
F 2.850 2.850 1.759
! Calculated volume = 22.86 Å³/atom
! Crystal system = tetragonal

---

Entry 6:
! GGA-PBE Sb2INF, optimized geometry; values from VASP
&SYSTEM
  ibrav = 0, nat = 5, ntyp = 4
/
ATOMIC_SPECIES
Sb 121.76 Sb.upf
I 126.90 I.upf
N 14.01 N.upf
F 19.00 F.upf
CELL_PARAMETERS angstrom
4.770 0.000 0.000
0.000 4.770 0.000
0.000 0.000 4.806
ATOMIC_POSITIONS angstrom
Sb 0.000 2.385 0.000
Sb 2.385 0.000 0.000
I 0.000 0.000 2.403
N 0.000 0.000 0.000
F 2.385 2.385 2.403
! Calculated volume = 21.87 Å³/atom
! Crystal system = tetragonal

---

Entry 7:
! GGA-PBE ScI2NF, optimized geometry; values from VASP
&SYSTEM
  ibrav = 0, nat = 5, ntyp = 4
/
ATOMIC_SPECIES
Sc 44.96 Sc.upf
I 126.90 I.upf
N 14.01 N.upf
F 19.00 F.upf
CELL_PARAMETERS angstrom
5.703 0.000 0.000
0.000 5.703 0.000
0.000 0.000 4.039
ATOMIC_POSITIONS angstrom
Sc 0.000 0.000 0.000
I 0.000 2.852 0.000
I 2.852 0.000 0.000
N 0.000 0.000 2.019
F 2.852 2.852 2.019
! Calculated volume = 26.27 Å³/atom
! Crystal system = tetragonal

---

Entry 8:
! GGA-PBE ScI2NF, optimized geometry; values from VASP
&SYSTEM
  ibrav = 0, nat = 5, ntyp = 4
/
ATOMIC_SPECIES
Sc 44.96 Sc.upf
I 126.90 I.upf
N 14.01 N.upf
F 19.00 F.upf
CELL_PARAMETERS angstrom
5.632 0.000 0.000
0.000 5.632 0.000
0.000 0.000 3.678
ATOMIC_POSITIONS angstrom
Sc 0.000 0.000 0.000
I 0.000 2.816 1.839
I 2.816 0.000 1.839
N 2.816 2.816 0.000
F 2.816 2.816 1.839
! Calculated volume = 23.34 Å³/atom
! Crystal system = tetragonal

---

Raw total energy across the listed records, respectively: -23.0; -17.0; -21.0; -21.3; -14.6; -17.8; -20.0; -16.8 eV/f.u..
Energy relative to the elements, uncorrected across the listed records, respectively: 0.89; 0.79; 0.00; 0.25; 1.60; 0.44; -0.07; 0.56 eV/atom.
Size of the total moment across the listed records, respectively: 1.224; 1.846; 0.423; 0.000; 5.582; 0.000; 0.001; 1.323 μB per cell.